# 1
{"formula": "Pr2CuSb4Ir", "functional": "PBE-GGA", "state": "optimized geometry", "magnetic_moment_mub_per_cell": 0.00, "energy_ry_per_atom": -0.40186, "space_group": "P-4m2", "cell": [[4.426, 0.000, 0.000], [0.000, 4.426, 0.000], [0.000, 0.000, 10.057]], "species": ["Pr", "Pr", "Cu", "Sb", "Sb", "Sb", "Sb", "Ir"], "fractional_positions": [[0.000, 0.500, 0.248], [0.500, 0.000, 0.752], [0.000, 0.000, 0.000], [0.000, 0.000, 0.500], [0.000, 0.500, 0.851], [0.500, 0.000, 0.149], [0.500, 0.500, 0.500], [0.500, 0.500, 0.000]]}

# 2
{"formula": "PrCuSi2Ir", "functional": "PBE-GGA", "state": "optimized geometry", "magnetic_moment_mub_per_cell": 0.01, "energy_ry_per_atom": -0.46865, "space_group": "I-4m2", "cell": [[4.116, 0.000, 0.000], [0.000, 4.116, 0.000], [0.000, 0.000, 10.122]], "species": ["Pr", "Pr", "Cu", "Cu", "Si", "Si", "Si", "Si", "Ir", "Ir"], "fractional_positions": [[0.000, 0.000, 0.000], [0.500, 0.500, 0.500], [0.000, 0.500, 0.250], [0.500, 0.000, 0.750], [0.000, 0.000, 0.378], [0.000, 0.000, 0.622], [0.500, 0.500, 0.122], [0.500, 0.500, 0.878], [0.000, 0.500, 0.750], [0.500, 0.000, 0.250]]}

# 3
{"formula": "PrCuSn2Ir", "functional": "PBE-GGA", "state": "optimized geometry", "magnetic_moment_mub_per_cell": 0.01, "polymorph_energy_ev_per_atom": 0.000, "space_group": "P4/nmm", "cell": [[4.526, 0.000, 0.000], [0.000, 4.526, 0.000], [0.000, 0.000, 10.731]], "species": ["Pr", "Pr", "Cu", "Cu", "Sn", "Sn", "Sn", "Sn", "Ir", "Ir"], "fractional_positions": [[0.250, 0.250, 0.246], [0.750, 0.750, 0.754], [0.250, 0.750, 0.000], [0.750, 0.250, 0.000], [0.250, 0.250, 0.873], [0.250, 0.750, 0.500], [0.750, 0.250, 0.500], [0.750, 0.750, 0.127], [0.250, 0.250, 0.631], [0.750, 0.750, 0.369]]}

# 4
{"formula": "PrCuSn2Ir", "functional": "PBE-GGA", "state": "optimized geometry", "magnetic_moment_mub_per_cell": 0.01, "polymorph_energy_ev_per_atom": 0.024, "space_group": "P4/nmm", "cell": [[4.448, 0.000, 0.000], [0.000, 4.448, 0.000], [0.000, 0.000, 10.882]], "species": ["Pr", "Pr", "Cu", "Cu", "Sn", "Sn", "Sn", "Sn", "Ir", "Ir"], "fractional_positions": [[0.250, 0.250, 0.239], [0.750, 0.750, 0.761], [0.250, 0.250, 0.635], [0.750, 0.750, 0.365], [0.250, 0.250, 0.866], [0.250, 0.750, 0.500], [0.750, 0.250, 0.500], [0.750, 0.750, 0.134], [0.250, 0.750, 0.000], [0.750, 0.250, 0.000]]}